The following is a DFT calculation (GGA-PBE) of an optimized crystal structure of InP.

* size of the total moment: 0.00 Bohr magnetons per cell
* space-group type: P-3m1 (164)
* formation enthalpy at 0 K: 0.096 eV per atom
* density: 5.41 g cm⁻³

Lattice parameters (Å, degrees): 3.312 3.312 9.422 90.00 90.00 120.00
Element x y z (fractional)
In1 0.333 0.667 0.151
In2 0.667 0.333 0.849
P1 0.333 0.667 0.568
P2 0.667 0.333 0.432

***

The following is a DFT calculation (GGA-PBE) of an optimized crystal structure of NaLiBr2.

* size of the total moment: 0.00 Bohr magnetons per cell
* space-group type: Pnma (62)
* VASP energy: -50.7 eV for the cell shown
* density: 2.78 g cm⁻³

Lattice parameters (Å, degrees): 6.994 4.129 15.683 90.00 90.00 90.00
Element x y z (fractional)
Na1 0.212 0.250 0.069
Na2 0.288 0.750 0.569
Na3 0.712 0.250 0.431
Na4 0.788 0.750 0.931
Li1 0.196 0.750 0.330
Li2 0.304 0.250 0.830
Li3 0.696 0.750 0.170
Li4 0.804 0.250 0.670
Br1 0.163 0.250 0.683
Br2 0.213 0.750 0.925
Br3 0.287 0.250 0.425
Br4 0.337 0.750 0.183
Br5 0.663 0.250 0.817
Br6 0.713 0.750 0.575
Br7 0.787 0.250 0.075
Br8 0.837 0.750 0.317

***

The following is a DFT calculation (GGA-PBE) of an optimized crystal structure of Zn2PIr.

* size of the total moment: 0.00 Bohr magnetons per cell
* space-group type: Imm2 (44)
* formation enthalpy at 0 K: -0.094 eV per atom
* density: 9.04 g cm⁻³

Lattice parameters (Å, degrees): 2.839 4.135 11.076 90.00 90.00 90.00
Element x y z (fractional)
Zn1 0.000 0.000 0.000
Zn2 0.000 0.500 0.166
Zn3 0.500 0.000 0.666
Zn4 0.500 0.500 0.500
P1 0.000 0.500 0.779
P2 0.500 0.000 0.279
Ir1 0.000 0.000 0.448
Ir2 0.500 0.500 0.948

***

The following is a DFT calculation (GGA-PBE) of an optimized crystal structure of SrY2Mg.

* size of the total moment: 0.00 Bohr magnetons per cell
* space-group type: Pmmm (47)
* formation enthalpy at 0 K: 0.145 eV per atom
* density: 3.58 g cm⁻³

Lattice parameters (Å, degrees): 4.131 5.695 5.719 90.00 90.00 90.00
Element x y z (fractional)
Sr1 0.000 0.000 0.000
Y1 0.000 0.500 0.500
Y2 0.500 0.000 0.500
Mg1 0.500 0.500 0.000

***

The following is a DFT calculation (GGA-PBE) of an optimized crystal structure of CsRb2Sn.

* size of the total moment: 1.10 Bohr magnetons per cell
* space-group type: R-3m (166)
* formation enthalpy at 0 K: 0.370 eV per atom
* density: 2.55 g cm⁻³

Lattice parameters (Å, degrees): 4.429 4.429 48.678 90.00 90.00 120.00
Element x y z (fractional)
Cs1 0.000 0.000 0.000
Cs2 0.333 0.667 0.667
Cs3 0.667 0.333 0.333
Rb1 0.000 0.000 0.426
Rb2 0.000 0.000 0.574
Rb3 0.333 0.667 0.093
Rb4 0.333 0.667 0.240
Rb5 0.667 0.333 0.760
Rb6 0.667 0.333 0.907
Sn1 0.000 0.000 0.500
Sn2 0.333 0.667 0.167
Sn3 0.667 0.333 0.833

***

The following is a DFT calculation (GGA-PBE) of an optimized crystal structure of Np2Ni3P4Os.

* size of the total moment: 7.98 Bohr magnetons per cell
* space-group type: P-4m2 (115)
* formation enthalpy at 0 K: -0.647 eV per atom
* density: 10.87 g cm⁻³

Lattice parameters (Å, degrees): 4.004 4.004 9.192 90.00 90.00 90.00
Element x y z (fractional)
Np1 0.000 0.500 0.238
Np2 0.500 0.000 0.762
Ni1 0.000 0.500 0.887
Ni2 0.500 0.000 0.113
Ni3 0.500 0.500 0.500
P1 0.000 0.000 0.000
P2 0.000 0.500 0.642
P3 0.500 0.000 0.358
P4 0.500 0.500 0.000
Os1 0.000 0.000 0.500

***

- What is the size of the total moment in the third record?
  0.00 Bohr magnetons per cell

***

- The highest density belongs to which entry?
  Np2Ni3P4Os

***

- Among the records above, which one has the highest density?
  Np2Ni3P4Os